Entry 1:
## HgPb3 (meta-GGA SCAN)

Data for a crystal of HgPb3 relaxed with PBEsol.

Cell and atoms, written as POSCAR:
```
HgPb3
1.0
-3.542 -3.160 -3.845
1.682 -5.202 2.726
-4.685 0.522 3.886
Pb Hg
6 2
Direct
0.500 0.000 0.250
0.000 0.750 0.500
0.500 0.000 0.750
0.750 0.500 0.000
0.250 0.500 0.000
0.000 0.250 0.500
0.500 0.500 0.500
0.000 0.000 0.000
```

Results
Space group: Pm-3n
Calculated total energy: -73.787 eV/atom

Entry 2:
## Hg3Pb (meta-GGA SCAN)

Data for a crystal of Hg3Pb relaxed with PBEsol.

Cell and atoms, written as POSCAR:
```
Hg3Pb
1.0
5.543 0.000 0.000
0.000 5.529 0.000
0.000 0.000 6.447
Hg Pb
6 2
Direct
0.000 0.343 0.500
0.500 0.140 0.755
0.000 0.860 0.745
0.500 0.140 0.245
0.500 0.657 0.000
0.000 0.860 0.255
0.500 0.636 0.500
0.000 0.364 0.000
```

Results
Space group: Pmmn
Calculated total energy: -70.004 eV/atom

Entry 3:
## Hg3Pb (meta-GGA SCAN)

Data for a crystal of Hg3Pb relaxed with PBEsol.

Cell and atoms, written as POSCAR:
```
Hg3Pb
1.0
5.521 0.000 0.000
0.000 6.412 0.000
0.000 -3.206 5.553
Pb Hg
2 6
Direct
0.250 0.333 0.667
0.750 0.667 0.333
0.750 0.670 0.835
0.250 0.835 0.670
0.250 0.835 0.165
0.750 0.165 0.835
0.750 0.165 0.330
0.250 0.330 0.165
```

Results
Space group: P6_3/mmc
Calculated total energy: -69.999 eV/atom